Material: K2LiAs
Method: DFT, GGA-PBEsol
State: optimized geometry

As for the calculated total energy: -2.726 eV/atom. As for the total magnetization: 0.0 μB/f.u.

Unit cell a=4.577 b=5.750 c=5.867 alpha=119.34 beta=112.96 gamma=90.00
Fractional coordinates of all 4 atoms:
K 0.777 0.277 0.554
K 0.962 0.962 0.924
As 0.174 0.674 0.348
Li 0.587 0.587 0.174

Material: KLiAs2
Method: DFT, GGA-PBEsol
State: optimized geometry

As for the calculated total energy: -3.748 eV/atom. For the density of states at the Fermi level, the calculation gives 0.712 states/eV/f.u. As for the total magnetization: 0.0 μB/f.u.

Unit cell a=3.623 b=4.819 c=6.215 alpha=100.84 beta=90.00 gamma=112.08
Fractional coordinates of all 4 atoms:
Li 0.500 0.000 0.000
K 0.000 0.000 0.500
As 0.757 0.513 0.865
As 0.243 0.487 0.135

Material: K2LiAs
Method: DFT, GGA-PBEsol
State: optimized geometry

As for the calculated total energy: -2.712 eV/atom. For the density of states at the Fermi level, the calculation gives 1.091 states/eV/f.u. As for the total magnetization: 0.0 μB/f.u.

Unit cell a=4.681 b=5.561 c=5.825 alpha=118.51 beta=90.00 gamma=90.00
Fractional coordinates of all 4 atoms:
K 0.500 0.288 0.576
K 0.000 0.968 0.937
As 0.500 0.611 0.221
Li 0.000 0.632 0.263

Material: K2LiAsW
Method: DFT, GGA-PBEsol
State: optimized geometry

As for the calculated total energy: -3.844 eV/atom. For the density of states at the Fermi level, the calculation gives 2.362 states/eV/f.u. As for the total magnetization: 2.6 μB/f.u.

Unit cell a=4.809 b=6.290 c=6.290 alpha=90.00 beta=90.00 gamma=90.00
Each line ends with the local moment (μB).
Fractional coordinates of all 5 atoms:
K 0.000 0.500 0.000  0.00
K 0.000 0.000 0.500  0.00
Li 0.500 0.500 0.500  -0.02
W 0.500 0.000 0.000  2.12
As 0.000 0.000 0.000  -0.10

Material: K2MgAs
Method: DFT, GGA-PBEsol
State: optimized geometry

As for the calculated total energy: -2.644 eV/atom. For the density of states at the Fermi level, the calculation gives 1.233 states/eV/f.u. As for the total magnetization: 0.0 μB/f.u.

Unit cell a=4.477 b=4.476 c=9.549 alpha=103.12 beta=90.00 gamma=120.01
Fractional coordinates of all 4 atoms:
As 0.792 0.584 0.376
Mg 0.458 0.916 0.375
K 0.035 0.071 0.096
K 0.215 0.429 0.653

Material: KMnAs2
Method: DFT, GGA-PBEsol
State: optimized geometry

As for the calculated total energy: -4.678 eV/atom. For the density of states at the Fermi level, the calculation gives 2.866 states/eV/f.u. As for the total magnetization: 4.0 μB/f.u.

Unit cell a=4.893 b=4.893 c=4.893 alpha=60.00 beta=60.00 gamma=60.00
Each line ends with the local moment (μB).
Fractional coordinates of all 4 atoms:
As 0.750 0.750 0.750  -0.07
As 0.000 0.000 0.000  -0.09
K 0.500 0.500 0.500  0.01
Mn 0.250 0.250 0.250  4.02

Material: KMnAs2
Method: DFT, GGA-PBEsol
State: optimized geometry

As for the calculated total energy: -5.397 eV/atom. As for the total magnetization: 0.0 μB/f.u.

Unit cell a=5.950 b=5.950 c=7.570 alpha=113.14 beta=113.14 gamma=90.00
Fractional coordinates of all 8 atoms:
K 0.500 0.500 0.000
K 0.750 0.250 0.500
Mn 0.000 0.000 0.000
Mn 0.250 0.750 0.500
As 0.625 0.875 0.750
As 0.125 0.875 0.750
As 0.125 0.875 0.250
As 0.125 0.375 0.250

Material: KMn2As
Method: DFT, GGA-PBEsol
State: optimized geometry

As for the calculated total energy: -5.551 eV/atom. For the density of states at the Fermi level, the calculation gives 4.065 states/eV/f.u. As for the total magnetization: 8.0 μB/f.u.

Unit cell a=4.216 b=4.216 c=5.226 alpha=113.79 beta=113.79 gamma=90.00
Each line ends with the local moment (μB).
Fractional coordinates of all 4 atoms:
As 0.500 0.500 0.000  -0.01
K 0.250 0.750 0.500  0.01
Mn 0.000 0.000 0.000  3.84
Mn 0.750 0.250 0.500  3.70

Material: KMnAs2
Method: DFT, GGA-PBEsol
State: optimized geometry

As for the calculated total energy: -5.194 eV/atom. For the density of states at the Fermi level, the calculation gives 1.948 states/eV/f.u. As for the total magnetization: 2.3 μB/f.u.

Unit cell a=2.960 b=3.665 c=8.280 alpha=90.00 beta=90.00 gamma=90.00
Each line ends with the local moment (μB).
Fractional coordinates of all 4 atoms:
Mn 0.500 0.500 0.938  2.43
As 0.000 0.000 0.865  -0.09
As 0.500 0.500 0.213  -0.08
K 0.000 0.000 0.484  0.00

Material: KMnAs2
Method: DFT, GGA-PBEsol
State: optimized geometry

As for the calculated total energy: -4.942 eV/atom. For the density of states at the Fermi level, the calculation gives 1.555 states/eV/f.u. As for the total magnetization: 4.2 μB/f.u.

Unit cell a=2.846 b=5.430 c=5.430 alpha=107.56 beta=90.00 gamma=90.00
Each line ends with the local moment (μB).
Fractional coordinates of all 4 atoms:
As 0.000 0.500 0.000  -0.01
As 0.000 0.000 0.500  -0.01
K 0.500 0.500 0.500  0.01
Mn 0.500 0.000 0.000  3.95

Material: KMn2As
Method: DFT, GGA-PBEsol
State: optimized geometry

As for the calculated total energy: -5.443 eV/atom. For the density of states at the Fermi level, the calculation gives 3.024 states/eV/f.u. As for the total magnetization: 7.8 μB/f.u.

Unit cell a=2.808 b=5.529 c=5.529 alpha=114.46 beta=90.00 gamma=90.00
Each line ends with the local moment (μB).
Fractional coordinates of all 4 atoms:
K 0.500 0.500 0.500  -0.01
As 0.500 0.000 0.000  -0.05
Mn 0.000 0.500 0.000  3.71
Mn 0.000 0.000 0.500  3.71

Material: KMnAs2
Method: DFT, GGA-PBEsol
State: optimized geometry

As for the calculated total energy: -4.872 eV/atom. For the density of states at the Fermi level, the calculation gives 1.959 states/eV/f.u. As for the total magnetization: 4.5 μB/f.u.

Unit cell a=4.126 b=4.471 c=4.471 alpha=90.00 beta=90.00 gamma=90.00
Each line ends with the local moment (μB).
Fractional coordinates of all 4 atoms:
As 0.000 0.500 0.000  -0.03
As 0.000 0.000 0.500  -0.03
Mn 0.500 0.000 0.000  4.19
K 0.500 0.500 0.500  0.02

Repeat the seventh record exactly.
Material: KMnAs2
Method: DFT, GGA-PBEsol
State: optimized geometry

As for the calculated total energy: -5.397 eV/atom. As for the total magnetization: 0.0 μB/f.u.

Unit cell a=5.950 b=5.950 c=7.570 alpha=113.14 beta=113.14 gamma=90.00
Fractional coordinates of all 8 atoms:
K 0.500 0.500 0.000
K 0.750 0.250 0.500
Mn 0.000 0.000 0.000
Mn 0.250 0.750 0.500
As 0.625 0.875 0.750
As 0.125 0.875 0.750
As 0.125 0.875 0.250
As 0.125 0.375 0.250

- total magnetization of number 10 (KMnAs2)?
  4.2 μB/f.u.

- Which of these has the highest calculated total energy?
  K2MgAs

- What is the calculated total energy in the first record?
  -2.726 eV/atom